# CeMg6Co | Alexandria | PBE | relaxed
# DOS at the Fermi energy: 0.976 states/eV per atom
# ΔE_f: 0.128 eV/atom
# symmetry: Amm2, No. 38
data_CeMg6Co
_space_group_name_H-M_alt 'P 1'
_space_group_IT_number 1
_space_group_name_Hall 'P 1'
_cell_length_a 6.925
_cell_length_b 6.925
_cell_length_c 4.945
_cell_angle_alpha 90.00
_cell_angle_beta 90.00
_cell_angle_gamma 131.82
loop_
_atom_site_label
_atom_site_type_symbol
_atom_site_fract_x
_atom_site_fract_y
_atom_site_fract_z
_atom_site_occupancy
Mg1 Mg 0.169 0.321 0.500 1
Mg2 Mg 0.309 0.189 0.000 1
Ce1 Ce 0.310 0.690 0.000 1
Co1 Co 0.857 0.143 0.000 1
Mg3 Mg 0.679 0.831 0.500 1
Mg4 Mg 0.149 0.851 0.500 1
Mg5 Mg 0.716 0.284 0.500 1
Mg6 Mg 0.811 0.691 0.000 1